Er3Tl4AgTe8 | GGA-PBE | optimized geometry

Values from the calculation:
D(E_F): 0.550 states/eV/atom
Spin magnetization: 0.000 μB per atom
VASP energy: -3.959 eV/atom

a b c (Å): 8.8372 9.4049 8.8374
angles (deg): 118.03 120.00 90.00
Last column: nearest neighbours and their distance in Å.
Fractional coordinates of all 16 atoms:
Er1 0.5000 0.5000 0.0000  6 Te 3.06-3.07
Er2 0.5000 0.5000 0.5000  6 Te 3.06-3.07
Er3 0.0000 0.5000 0.5000  6 Te 3.06-3.07
Tl1 0.5000 0.0000 0.0000  6 Te 3.41
Tl2 0.5000 0.0000 0.5000  6 Te 3.39-3.40
Tl3 0.0000 0.0000 0.0000  6 Te 3.39-3.40
Tl4 0.0000 0.0000 0.5000  6 Te 3.39-3.40
Ag1 0.0000 0.5000 0.0000  6 Te 3.06
Te1 0.2376 0.7141 0.9766  1 Ag 3.06, 2 Er 3.06, 3 Tl 3.40-3.41
Te2 0.2378 0.7143 0.4756  1 Ag 3.06, 2 Er 3.06, 3 Tl 3.40-3.41
Te3 0.2612 0.2835 0.5223  3 Er 3.07, 3 Tl 3.39
Te4 0.7390 0.7141 0.9766  1 Ag 3.06, 2 Er 3.06, 3 Tl 3.40-3.41
Te5 0.2610 0.2859 0.0234  1 Ag 3.06, 2 Er 3.06, 3 Tl 3.40-3.41
Te6 0.7388 0.7165 0.4777  3 Er 3.07, 3 Tl 3.39
Te7 0.7622 0.2857 0.5244  1 Ag 3.06, 2 Er 3.06, 3 Tl 3.40-3.41
Te8 0.7624 0.2859 0.0234  1 Ag 3.06, 2 Er 3.06, 3 Tl 3.40-3.41


ErTm2Ag3Te6 | GGA-PBE | optimized geometry

Values from the calculation:
Spin magnetization: 0.000 μB per atom
VASP energy: -4.221 eV/atom

a b c (Å): 4.3669 8.6377 9.6868
angles (deg): 102.03 103.03 90.00
Last column: nearest neighbours and their distance in Å.
Fractional coordinates of all 12 atoms:
Er1 0.5000 0.0000 0.0000  6 Te 3.08
Tm1 0.8329 0.6681 0.6658  6 Te 3.07
Tm2 0.1671 0.3319 0.3342  6 Te 3.07
Ag1 0.5000 0.5000 0.0000  6 Te 3.06-3.07
Ag2 0.8329 0.1697 0.6659  6 Te 3.06-3.09
Ag3 0.1671 0.8303 0.3341  6 Te 3.06-3.09
Te1 0.3330 0.9182 0.6659  3 Ag 3.06-3.08, 2 Tm 3.07, 1 Er 3.08
Te2 0.6665 0.5821 0.3330  3 Ag 3.06-3.07, 3 Tm 3.07
Te3 0.6670 0.0818 0.3341  3 Ag 3.06-3.08, 2 Tm 3.07, 1 Er 3.08
Te4 0.0003 0.2516 0.0006  3 Ag 3.06-3.09, 1 Tm 3.07, 2 Er 3.08
Te5 0.9997 0.7484 0.9994  3 Ag 3.06-3.09, 1 Tm 3.07, 2 Er 3.08
Te6 0.3335 0.4179 0.6670  3 Ag 3.06-3.07, 3 Tm 3.07


Er2UAg3Te6 | GGA-PBE | optimized geometry

Values from the calculation:
D(E_F): 0.329 states/eV/atom
Spin magnetization: 0.251 μB per atom
VASP energy: -4.657 eV/atom

a b c (Å): 4.4257 10.6916 8.8823
angles (deg): 106.45 104.43 90.00
Last column: nearest neighbours and their distance in Å.
Fractional coordinates of all 12 atoms:
Er1 0.8377 0.6683 0.6755  6 Te 3.00-3.10
Er2 0.1623 0.3317 0.3245  6 Te 3.00-3.10
U1 0.5000 0.0000 0.0000  6 Te 3.16-3.25
Ag1 0.5000 0.5000 0.0000  2 Te 2.64
Ag2 0.8237 0.0295 0.6475  4 Te 2.80-2.88
Ag3 0.1763 0.9705 0.3525  4 Te 2.80-2.88
Te1 0.3063 0.8513 0.6127  3 Ag 2.88, 2 Er 3.10
Te2 0.6571 0.5241 0.3142  1 Ag 2.64
Te3 0.6937 0.1487 0.3873  3 Ag 2.88, 2 Er 3.10
Te4 0.9821 0.2012 0.9641  1 Ag 2.80, 1 Er 3.00
Te5 0.0179 0.7988 0.0359  1 Ag 2.80, 1 Er 3.00
Te6 0.3429 0.4759 0.6858  1 Ag 2.64


YEr2Ag3Te6 | GGA-PBE | optimized geometry

Values from the calculation:
Spin magnetization: 0.000 μB per atom
VASP energy: -4.410 eV/atom

a b c (Å): 4.3867 8.6525 9.7068
angles (deg): 101.82 103.06 90.00
Last column: nearest neighbours and their distance in Å.
Fractional coordinates of all 12 atoms:
Y1 0.5000 0.0000 0.0000  6 Te 3.10
Er1 0.8325 0.6705 0.6650  6 Te 3.08-3.09
Er2 0.1675 0.3295 0.3350  6 Te 3.08-3.09
Ag1 0.5000 0.5000 0.0000  6 Te 3.06-3.07
Ag2 0.8316 0.1754 0.6632  6 Te 3.04-3.12
Ag3 0.1684 0.8246 0.3368  6 Te 3.04-3.12
Te1 0.3324 0.9208 0.6647  3 Ag 3.04-3.11, 2 Er 3.08, 1 Y 3.10
Te2 0.6660 0.5802 0.3321  3 Ag 3.04-3.07, 3 Er 3.08-3.09
Te3 0.6676 0.0792 0.3353  3 Ag 3.04-3.11, 2 Er 3.08, 1 Y 3.10
Te4 0.0004 0.2537 0.0007  3 Ag 3.06-3.12, 1 Er 3.09, 2 Y 3.10
Te5 0.9996 0.7463 0.9993  3 Ag 3.06-3.12, 1 Er 3.09, 2 Y 3.10
Te6 0.3340 0.4198 0.6679  3 Ag 3.04-3.07, 3 Er 3.08-3.09


Which value of spin magnetization does entry 3 give?
0.251 μB per atom